Ca3GaF (PBE-GGA, relaxed); formation energy (no corrections) = -1.23 eV/atom
1.0
4.890 0.000 0.000
0.000 4.890 0.000
0.000 0.000 4.890
Ca Ga F
3 1 1
Direct
0.000 0.000 0.500 Ca
0.000 0.500 0.000 Ca
0.500 0.000 0.000 Ca
0.500 0.500 0.500 Ga
0.000 0.000 0.000 F

***

Entry from the Alexandria database: a geometry-optimized Ba2MgTi2 structure (PBE-GGA).

POSCAR file:
```
Ba2MgTi2
1.0
9.714 0.000 0.000
0.000 9.714 0.000
0.000 0.000 3.691
Ba Mg Ti
4 2 4
Direct
0.204 0.296 0.000 Ba
0.296 0.796 0.000 Ba
0.704 0.204 0.000 Ba
0.796 0.704 0.000 Ba
0.000 0.000 0.500 Mg
0.500 0.500 0.500 Mg
0.081 0.581 0.500 Ti
0.419 0.081 0.500 Ti
0.581 0.919 0.500 Ti
0.919 0.419 0.500 Ti
```

***

Entry from the Alexandria database: a geometry-optimized Tl4InPb structure (PBE-GGA).

POSCAR file:
```
Tl4InPb
1.0
1.765 -9.252 0.000
1.765 9.252 0.000
0.000 0.000 11.154
Tl In Pb
8 2 2
Direct
0.003 0.997 0.500 Tl
0.110 0.890 0.249 Tl
0.333 0.667 0.496 Tl
0.441 0.559 0.249 Tl
0.559 0.441 0.749 Tl
0.667 0.333 0.996 Tl
0.890 0.110 0.749 Tl
0.997 0.003 0.000 Tl
0.333 0.667 0.995 In
0.667 0.333 0.495 In
0.224 0.776 0.743 Pb
0.776 0.224 0.243 Pb
```

***

KTeClO (PBE-GGA, relaxed); formation energy (no corrections) = -1.01 eV/atom
1.0
7.106 -1.857 0.000
7.106 1.857 0.000
-0.017 0.000 3.812
K Te Cl O
1 1 1 1
Direct
0.000 0.000 0.000 K
0.286 0.286 0.498 Te
0.609 0.609 0.502 Cl
0.859 0.859 0.497 O

***

Quick rundown of E, same order as above: -17.0, -35.5, -31.7, -15.1 eV/cell
Quick rundown of offset from the most stable computed form, same order as above: 0.0, 0.0, 0.0, 3.5 kJ per mole of atoms